4
Lattice="1.681 -2.309 0.000 1.681 2.309 0.000 0.000 0.000 8.611" Properties=species:S:1:pos:R:3 comment="TlNiMo2 GGA-PBE relaxed" m_tot_mub_per_cell=0.00 volume_a3_per_atom=16.71 de_polymorph_mev_per_atom=48 sg="Cmm2 (35)" pbc="T T T"
Tl 0.000 0.000 0.000
Ni 1.681 0.000 6.416
Mo 0.000 0.000 4.574
Mo 1.681 0.000 2.508

=====

5
Lattice="5.383 0.000 0.000 0.000 5.383 0.000 0.000 0.000 5.383" Properties=species:S:1:pos:R:3 comment="Tl3NiMo GGA-PBE relaxed" m_tot_mub_per_cell=2.52 volume_a3_per_atom=31.20 de_polymorph_mev_per_atom=298 sg="Pm-3m (221)" pbc="T T T"
Tl 0.000 0.000 2.692
Tl 0.000 2.692 0.000
Tl 2.692 0.000 0.000
Ni 2.692 2.692 2.692
Mo 0.000 0.000 0.000